[1]
DFT (GGA-PBE) results for a geometry-optimized ZnPd structure.

Output
SG	No. 6

extended XYZ file:
```
10
Lattice="-0.7067 -2.9370 2.9386 6.0257 1.5206 6.0022 -2.6272 2.6096 1.9763" Properties=species:S:1:pos:R:3 pbc="T T T"
Zn 1.6781 -0.3746 7.1827
Zn 0.8168 -1.4028 2.9381
Pd 0.6686 0.4534 4.7474
Pd 1.6264 -2.3246 5.2315
Zn -0.1507 1.3739 2.4429
Zn 5.8698 0.9690 6.5233
Pd 3.3946 1.7338 6.6805
Pd 3.3442 -0.2164 4.7312
Pd 4.3558 -1.0426 7.1669
Zn 4.2137 0.8153 8.9820
```

***

[2]
DFT (GGA-PBE) results for a geometry-optimized Zn3Pd structure.

Output
SG	No. 223

extended XYZ file:
```
8
Lattice="4.9043 0.0000 0.0000 0.0000 4.9043 0.0000 0.0000 0.0000 4.9043" Properties=species:S:1:pos:R:3 pbc="T T T"
Zn 1.2261 0.0000 2.4522
Zn 2.4522 3.6782 0.0000
Pd 0.0000 0.0000 0.0000
Zn 0.0000 2.4522 1.2261
Zn 0.0000 2.4522 3.6782
Zn 2.4522 1.2261 0.0000
Zn 3.6782 0.0000 2.4522
Pd 2.4522 2.4522 2.4522
```

***

[3]
DFT (GGA-PBE) results for a geometry-optimized ZnPd2 structure.

Output
SG	No. 139

extended XYZ file:
```
3
Lattice="2.9611 -1.3157 4.5501 -1.0846 -1.9203 5.1321 -0.7470 -0.3215 -5.5264" Properties=species:S:1:pos:R:3 pbc="T T T"
Pd 1.2312 -2.1231 6.3524
Pd 0.6454 -1.1129 3.3299
Zn 0.0000 0.0000 0.0000
```

***

[4]
DFT (GGA-PBE) results for a geometry-optimized ZnPd17 structure.

Output
SG	No. 164

extended XYZ file:
```
36
Lattice="-2.9796 -4.5800 0.9012 4.6350 0.9017 2.8931 -17.7777 16.1778 23.4400" Properties=species:S:1:pos:R:3 pbc="T T T"
Pd -17.0561 10.3012 21.4693
Pd -11.0427 9.4485 20.0470
Pd -4.2488 1.2051 9.0912
Pd -3.6375 3.3102 4.7961
Zn -13.4081 9.0470 18.6618
Pd -6.5748 0.7526 7.6394
Pd -17.0039 12.3193 23.4029
Pd -14.7419 10.7514 22.9137
Pd -14.6894 12.7721 24.8536
Pd 2.3175 0.4508 1.4465
Pd -13.3041 11.0127 20.5220
Pd -15.5684 12.5879 21.0193
Pd 0.9338 2.1983 5.7649
Pd -13.2554 13.0451 22.4710
Pd -15.6124 10.5636 19.0812
Pd -2.8669 -0.5455 4.7632
Zn -2.7142 3.4525 8.5724
Pd -9.5474 11.7470 19.5948
Pd -1.3343 3.7677 6.2634
Pd -14.1402 12.8677 18.6439
Pd -2.8182 1.4869 6.7122
Pd 0.8817 0.1802 3.8313
Pd -5.0795 3.0510 7.1871
Pd -13.1989 15.0631 24.4028
Pd -15.5175 14.6121 22.9556
Pd -0.5099 1.9359 8.1530
Pd -2.9233 -2.5636 2.8314
Pd -1.4898 -2.2900 0.4506
Pd -0.5538 -0.0884 6.2148
Pd -0.6048 -2.1126 4.2785
Pd -1.4329 -0.2726 2.3806
Pd -14.7880 8.7318 20.9708
Pd -1.3803 1.7481 4.3205
Pd -11.8735 11.2945 18.1429
Pd 0.0000 0.0000 0.0000
Pd 0.8277 -1.8391 1.8971
```

***

[5]
DFT (GGA-PBE) results for a geometry-optimized ZnPd structure.

Output
SG	No. 216

extended XYZ file:
```
2
Lattice="-2.6697 2.1230 2.0690 -0.4650 3.8912 -0.7467 -3.3222 1.3063 -1.7809" Properties=species:S:1:pos:R:3 pbc="T T T"
Pd 0.0000 0.0000 0.0000
Zn -1.6142 1.8301 -0.1147
```

***

[6]
DFT (GGA-PBE) results for a geometry-optimized ZnPd18 structure.

Output
SG	No. 11
energy above the lowest structure with this stoichiometry	0	meV/atom

extended XYZ file:
```
38
Lattice="5.5935 0.0000 0.0000 0.0000 2.7954 0.0000 -0.0009 0.0000 51.6451" Properties=species:S:1:pos:R:3 pbc="T T T"
Pd 2.0969 0.6989 36.8874
Pd 4.8415 0.6989 16.7789
Pd 2.0976 0.6989 0.9789
Pd 3.4958 2.0965 6.8598
Pd 4.9000 0.6989 12.7815
Zn 4.8934 0.6989 33.3252
Pd 3.4944 2.0965 42.8175
Pd 3.4958 2.0965 2.9365
Pd 4.8935 0.6989 44.7859
Pd 4.8934 0.6989 8.8279
Pd 2.0981 0.6989 8.8276
Pd 2.0967 0.6989 44.7853
Pd 2.0976 0.6989 4.8962
Pd 0.6983 2.0965 50.6662
Pd 3.4949 2.0965 46.7489
Pd 0.6991 2.0965 42.8172
Pd 0.6989 2.0965 14.7844
Pd 2.1495 0.6989 16.7786
Pd 3.4957 2.0965 10.8047
Pd 2.0914 0.6989 12.7814
Pd 4.8937 0.6989 36.8607
Pd 0.6990 2.0965 6.8592
Zn 0.6991 2.0965 18.3198
Pd 3.4956 2.0965 14.7576
Pd 0.6926 2.0965 38.8636
Pd 3.4430 2.0965 34.8665
Pd 0.6992 2.0965 2.9365
Pd 0.7510 2.0965 34.8662
Pd 4.8942 0.6989 0.9788
Pd 3.5011 2.0965 38.8636
Pd 4.8934 0.6989 48.7085
Pd 2.0967 0.6989 48.7085
Pd 0.6985 2.0965 46.7489
Pd 4.8936 0.6989 40.8452
Pd 2.0968 0.6989 40.8404
Pd 0.6990 2.0965 10.7999
Pd 3.4950 2.0965 50.6662
Pd 4.8941 0.6989 4.8962
```

***

[7]
DFT (GGA-PBE) results for a geometry-optimized ZnPd20 structure.

Output
SG	No. 2

extended XYZ file:
```
42
Lattice="4.8000 0.0000 0.0000 1.6636 7.1055 0.0000 0.0787 0.0378 31.2591" Properties=species:S:1:pos:R:3 pbc="T T T"
Pd 2.0058 1.9713 9.7809
Pd 6.0962 5.8840 16.0792
Pd 0.4892 1.2353 24.1223
Pd 2.8279 0.1905 14.2834
Pd 3.7301 4.8819 24.1542
Pd 2.0522 4.0902 11.5810
Pd 3.6786 4.8145 15.1812
Pd 2.9016 4.4665 17.8743
Pd 2.1504 6.2570 22.3255
Pd 4.5365 5.1721 21.4781
Pd 4.4901 3.0532 19.6781
Pd 2.8538 4.4417 8.8161
Pd 3.6407 2.6768 13.3848
Pd 2.0753 1.9878 18.7744
Pd 3.7144 6.9528 16.9757
Pd 4.4671 5.1556 12.4847
Pd 3.6121 0.5382 11.5943
Pd 0.4461 1.2594 15.1798
Pd 1.2832 1.6530 21.4671
Pd 4.4629 0.9199 17.8775
Pd 1.2256 1.6083 12.4769
Zn 0.4167 1.2485 6.5233
Pd 3.6886 2.7017 22.4429
Pd 3.6757 6.8899 7.9587
Pd 4.4221 3.0310 10.6769
Zn 6.1256 5.8949 24.7358
Pd 4.3919 0.8863 8.9336
Pd 2.8123 2.2615 7.1049
Pd 5.2835 3.4019 16.9783
Pd 2.8666 0.2535 23.3004
Pd 1.2589 3.7415 14.2807
Pd 6.0531 5.9080 7.1367
Pd 5.2592 5.4904 9.7919
Pd 2.8763 6.5671 10.6823
Pd 1.3194 3.7245 23.3333
Pd 5.2230 3.4189 7.9257
Pd 2.8638 2.3289 16.0779
Pd 2.9302 6.6052 19.6647
Pd 2.0794 6.2234 13.3815
Pd 5.3167 5.5351 18.7821
Pd 3.6661 0.5763 20.5768
Pd 2.1202 4.1124 20.5822
```

***

[8]
DFT (GGA-PBE) results for a geometry-optimized ZnPd structure.

Output
SG	No. 123

extended XYZ file:
```
2
Lattice="2.9198 0.0000 0.0000 0.0000 2.9198 0.0000 0.0000 0.0000 3.3741" Properties=species:S:1:pos:R:3 pbc="T T T"
Pd 0.0000 0.0000 0.0000
Zn 1.4599 1.4599 1.6871
```

***

[9]
DFT (GGA-PBE) results for a geometry-optimized ZnPd15 structure.

Output
SG	No. 11
energy above the lowest structure with this stoichiometry	38	meV/atom

extended XYZ file:
```
32
Lattice="-1.5700 -5.3261 -0.0701 3.6458 -1.0875 0.9741 -8.7441 2.1211 35.0964" Properties=species:S:1:pos:R:3 pbc="T T T"
Pd -6.9506 -1.9316 27.8171
Pd -7.5235 1.0607 33.3025
Pd 0.5460 -0.8979 0.9123
Pd -8.3067 -1.6026 33.2602
Pd -2.2933 -3.0720 9.1123
Pd -1.5027 -0.3892 9.1484
Pd -1.5967 -3.2342 6.3238
Pd -5.0716 -1.0584 29.6765
Zn -5.5410 0.5792 25.3447
Pd 1.6384 -2.6899 2.7402
Pd -5.7536 -0.8973 32.4089
Pd -0.5003 -5.0244 8.1387
Pd -6.5386 -3.5589 32.3754
Pd -0.9147 -3.3953 3.5915
Pd -0.1297 -0.7336 3.6249
Pd -6.8468 0.8968 30.5866
Pd 0.1785 -5.1894 5.4138
Pd -7.6269 -1.7676 30.5316
Pd 0.2823 -2.3609 8.1832
Pd -5.8585 -3.7285 29.6407
Pd -6.2850 -2.0927 25.1460
Pd -0.3833 -2.1998 10.8543
Pd -6.4296 -0.7338 35.1217
Pd -7.2143 -3.3946 35.0880
Pd -6.1680 0.7318 27.8616
Pd -0.8097 -0.5640 6.3596
Pd -0.2387 -3.5587 0.8786
Pd -4.3750 -1.2205 26.8881
Zn -1.1273 -4.8718 10.6556
Pd -5.1656 -3.9033 26.8519
Pd 0.8552 -5.3533 2.6979
Pd 0.9586 -2.5249 5.4688
```

***

[10]
DFT (GGA-PBE) results for a geometry-optimized Zn5Pd structure.

Output
SG	No. 6

extended XYZ file:
```
6
Lattice="5.3880 4.0836 0.0000 -1.2403 2.9360 0.0000 0.0000 0.0000 4.1932" Properties=species:S:1:pos:R:3 pbc="T T T"
Zn 3.2487 4.0060 0.0000
Zn 2.2623 5.3254 2.0966
Zn 4.8742 4.7345 2.0966
Zn 0.8684 2.9871 2.0966
Zn -0.7181 2.3047 0.0000
Pd 1.9075 1.7011 0.0000
```

***

[11]
DFT (GGA-PBE) results for a geometry-optimized ZnPd structure.

Output
SG	No. 26

extended XYZ file:
```
12
Lattice="4.8194 0.0000 0.0000 0.0000 8.2698 0.0000 0.0000 0.0000 4.4225" Properties=species:S:1:pos:R:3 pbc="T T T"
Zn 2.4422 4.2047 0.0000
Pd 4.7700 8.0836 0.0000
Pd 2.3602 1.5646 0.0000
Pd 4.0087 4.1239 2.2112
Pd 1.6782 0.0148 2.2112
Zn 4.7591 2.6362 0.0000
Pd 4.0879 1.3635 2.2112
Zn 0.0324 5.4434 0.0000
Zn 4.0292 6.8737 2.2112
Zn 1.6195 2.7744 2.2112
Pd 1.5990 5.5242 2.2112
Zn 2.3494 7.0119 0.0000
```

***

[12]
DFT (GGA-PBE) results for a geometry-optimized ZnPd15 structure.

Output
SG	No. 51
energy above the lowest structure with this stoichiometry	0	meV/atom

extended XYZ file:
```
32
Lattice="3.9140 0.0000 0.0000 0.0000 3.9146 0.0000 0.0000 0.0000 45.2534" Properties=species:S:1:pos:R:3 pbc="T T T"
Pd 1.9570 1.9573 31.5972
Pd 1.9570 0.0000 33.6034
Pd 1.9570 0.0000 29.5964
Pd 1.9570 1.9573 27.6086
Pd 0.0000 1.9573 29.6036
Pd 1.9570 0.0000 21.6287
Pd 1.9570 1.9573 15.6489
Pd 1.9570 0.0000 25.6181
Pd 0.0000 0.0000 19.6348
Pd 0.0000 1.9573 37.6247
Pd 0.0000 0.0000 23.6243
Pd 1.9570 1.9573 11.6505
Pd 1.9570 1.9573 23.6215
Zn 0.0000 0.0000 7.7959
Pd 1.9570 1.9573 19.6390
Pd 0.0000 1.9573 21.6314
Pd 1.9570 0.0000 13.6548
Pd 1.9570 0.0000 17.6461
Pd 0.0000 1.9573 17.6443
Pd 1.9570 1.9573 7.6305
Pd 0.0000 0.0000 27.6069
Pd 0.0000 1.9573 9.6192
Pd 0.0000 1.9573 33.6029
Pd 0.0000 0.0000 15.6566
Pd 0.0000 0.0000 31.5983
Pd 1.9570 0.0000 9.6195
Pd 1.9570 1.9573 35.6352
Pd 0.0000 0.0000 35.6350
Pd 0.0000 1.9573 13.6559
Pd 0.0000 1.9573 25.6141
Pd 0.0000 0.0000 11.6507
Zn 1.9570 0.0000 37.4568
```

***

no.,formation enthalpy at 0 K (eV per formula unit),calculated total energy (eV/atom)
1,-0.8,-3.60
2,-1.0,-2.50
3,-1.3,-4.32
4,0.7,-4.92
5,0.6,-2.91
6,0.3,-4.96
7,1.9,-4.90
8,-1.1,-3.79
9,0.5,-4.90
10,-1.2,-2.12
11,-0.8,-3.62
12,-0.1,-4.94